No. 1
A geometry-optimized NaCu2Br3 structure. Source: Alexandria via LeMat-Bulk, functional PBE.

Formation energy (no corrections) ... -0.65 eV per atom
Total moment ... 0.000 μB per atom

a = 11.2595 Å, b = 11.2595 Å, c = 7.0717 Å
α = 104.91°, β = 104.91°, γ = 21.11°
With the nearest neighbours (Å) after each atom.
Element x y z (fractional)
Na 0.1423 0.1423 0.4431  4 Br 2.81-3.05
Na 0.8577 0.8577 0.5569  4 Br 2.81-3.05
Cu 0.2159 0.2159 0.9159  4 Br 2.45-2.63, 2 Cu 2.65
Cu 0.4511 0.4511 0.3598  4 Br 2.50-2.52, 1 Cu 2.52
Cu 0.5489 0.5489 0.6402  4 Br 2.50-2.52, 1 Cu 2.52
Cu 0.7841 0.7841 0.0841  4 Br 2.45-2.63, 2 Cu 2.65
Br 0.1014 0.1014 0.8143  3 Cu 2.45-2.52
Br 0.2552 0.2552 0.2729  3 Cu 2.45-2.63
Br 0.4432 0.4432 0.7054  2 Cu 2.50
Br 0.5568 0.5568 0.2946  2 Cu 2.50
Br 0.7448 0.7448 0.7271  3 Cu 2.45-2.63
Br 0.8986 0.8986 0.1857  3 Cu 2.45-2.52

---

No. 2
A geometry-optimized NaCuBr2 structure. Source: Alexandria via LeMat-Bulk, functional PBE.

Formation energy (no corrections) ... -0.87 eV per atom
Total moment ... 0.022 μB per atom
Polymorph energy (0 for the lowest one) ... 0.000 eV/atom

a = 4.4910 Å, b = 7.7407 Å, c = 7.9667 Å
α = 111.45°, β = 106.37°, γ = 90.01°
With the nearest neighbours (Å) after each atom.
Element x y z (fractional)
Na 0.0000 0.0000 0.0000  6 Br 2.98-3.08
Na 0.4999 0.5000 0.9998  6 Br 2.98-3.07
Cu 0.4976 0.4996 0.5004  2 Br 2.25-2.26
Cu 0.4982 0.9992 0.4999  2 Br 2.25-2.26
Br 0.1227 0.4124 0.2189  1 Cu 2.25
Br 0.4036 0.0875 0.7811  1 Cu 2.26
Br 0.5958 0.9126 0.2197  1 Cu 2.25
Br 0.8765 0.5876 0.7808  1 Cu 2.26

---

No. 3
A geometry-optimized Na2CuBr2 structure. Source: Alexandria via LeMat-Bulk, functional PBE.

Formation energy (no corrections) ... -0.49 eV per atom
Total moment ... 0.173 μB per atom
Polymorph energy (0 for the lowest one) ... 0.091 eV/atom

a = 5.6950 Å, b = 5.6950 Å, c = 10.5455 Å
α = 90.00°, β = 90.00°, γ = 90.00°
With the nearest neighbours (Å) after each atom.
Element x y z (fractional)
Na 0.0000 0.0000 0.2095  4 Br 2.88, 1 Cu 3.06
Na 0.0000 0.0000 0.7905  4 Br 2.88, 1 Cu 3.06
Na 0.5000 0.5000 0.2905  4 Br 2.88, 1 Cu 3.06
Na 0.5000 0.5000 0.7095  4 Br 2.88, 1 Cu 3.06
Cu 0.0000 0.0000 0.5000  2 Na 3.06
Cu 0.5000 0.5000 0.0000  2 Na 3.06
Br 0.0000 0.5000 0.2500  4 Na 2.88
Br 0.0000 0.5000 0.7500  4 Na 2.88
Br 0.5000 0.0000 0.2500  4 Na 2.88
Br 0.5000 0.0000 0.7500  4 Na 2.88

---

No. 4
A geometry-optimized Na5CuBr6 structure. Source: Alexandria via LeMat-Bulk, functional PBE.

Formation energy (no corrections) ... -1.30 eV per atom
Total moment ... 0.005 μB per atom

a = 7.3625 Å, b = 7.3625 Å, c = 7.2322 Å
α = 98.04°, β = 98.04°, γ = 121.08°
With the nearest neighbours (Å) after each atom.
Element x y z (fractional)
Na 0.0000 0.0000 0.0000  4 Br 2.96
Na 0.1760 0.8240 0.5000  6 Br 2.88-3.16
Na 0.3340 0.6660 0.0000  6 Br 2.92-3.08
Na 0.6660 0.3340 0.0000  6 Br 2.92-3.08
Na 0.8240 0.1760 0.5000  6 Br 2.88-3.16
Cu 0.5000 0.5000 0.5000  2 Br 2.42
Br 0.0685 0.4008 0.2384  5 Na 2.88-3.05, 1 Cu 3.12
Br 0.2911 0.2911 0.7077  1 Cu 2.42
Br 0.4008 0.0685 0.2384  5 Na 2.88-3.05, 1 Cu 3.12
Br 0.5992 0.9315 0.7616  5 Na 2.88-3.05, 1 Cu 3.12
Br 0.7089 0.7089 0.2923  1 Cu 2.42
Br 0.9315 0.5992 0.7616  5 Na 2.88-3.05, 1 Cu 3.12

---

No. 5
A geometry-optimized Na2Cu2Br7 structure. Source: Alexandria via LeMat-Bulk, functional PBE.

Formation energy (no corrections) ... -0.63 eV per atom
Total moment ... 0.000 μB per atom

a = 7.0637 Å, b = 7.0637 Å, c = 7.8162 Å
α = 91.46°, β = 91.46°, γ = 110.52°
With the nearest neighbours (Å) after each atom.
Element x y z (fractional)
Na 0.1986 0.8014 0.0000  6 Br 2.95-3.03
Na 0.8014 0.1986 0.0000  6 Br 2.95-3.03
Cu 0.2488 0.2488 0.3054  4 Br 2.34-2.48
Cu 0.7512 0.7512 0.6946  4 Br 2.34-2.48
Br 0.0452 0.0452 0.7546  1 Cu 2.39
Br 0.0808 0.4770 0.2574  1 Cu 2.34
Br 0.4770 0.0808 0.2574  1 Cu 2.34
Br 0.5000 0.5000 0.5000  2 Cu 2.48
Br 0.5230 0.9192 0.7426  1 Cu 2.34
Br 0.9192 0.5230 0.7426  1 Cu 2.34
Br 0.9548 0.9548 0.2454  1 Cu 2.39

---

No. 6
A geometry-optimized Na4CuBr5 structure. Source: Alexandria via LeMat-Bulk, functional PBE.

Formation energy (no corrections) ... -1.25 eV per atom
Total moment ... 0.009 μB per atom

a = 7.2143 Å, b = 7.2143 Å, c = 7.2143 Å
α = 100.10°, β = 100.10°, γ = 130.50°
With the nearest neighbours (Å) after each atom.
Element x y z (fractional)
Na 0.0966 0.7011 0.7977  6 Br 2.91-3.09
Na 0.2989 0.0966 0.3955  6 Br 2.91-3.09
Na 0.7011 0.9034 0.6045  6 Br 2.91-3.09
Na 0.9034 0.2989 0.2023  6 Br 2.91-3.09
Cu 0.4316 0.4316 0.0000  5 Br 2.48-2.77
Br 0.0206 0.0206 0.0000  1 Cu 2.48
Br 0.2212 0.4123 0.6281  1 Cu 2.77, 5 Na 2.93-3.09
Br 0.4123 0.7842 0.1911  1 Cu 2.77, 5 Na 2.93-3.09
Br 0.5931 0.2212 0.8089  1 Cu 2.77, 5 Na 2.93-3.09
Br 0.7842 0.5931 0.3719  1 Cu 2.77, 5 Na 2.93-3.09

---

no.,E_tot (eV for the cell shown)
1,-36.804
2,-24.491
3,-25.012
4,-36.287
5,-29.507
6,-30.191